Entry 1:
SrHg2Ge, relaxed, DFT PBE; symmetry = R-3m, No. 166; formation enthalpy at 0 K = -0.281 eV/atom; E = -2.007 eV/atom; crystal system = trigonal
1.0
4.7222 0.0000 0.0000
2.3611 4.0896 0.0000
2.3611 1.3632 5.7720
Hg Ge Sr
2 1 1
Direct
0.7743 0.7743 0.6770
0.2257 0.2257 0.3230
0.5000 0.5000 0.5000
0.0000 0.0000 0.0000

=====

Entry 2:
NaBeAgAs, relaxed, DFT PBE; symmetry = P4/nmm, No. 129; formation enthalpy at 0 K = -0.176 eV/atom; E = -3.312 eV/atom; crystal system = tetragonal
1.0
3.7791 0.0000 0.0000
0.0000 3.7791 0.0000
0.0000 0.0000 11.0977
Ag Be Na As
2 2 2 2
Direct
0.2500 0.7500 0.5000
0.7500 0.2500 0.5000
0.7500 0.2500 0.0000
0.2500 0.7500 0.0000
0.7500 0.7500 0.2563
0.2500 0.2500 0.7437
0.7500 0.7500 0.8749
0.2500 0.2500 0.1251

=====

Entry 3:
HgPbBr2, relaxed, DFT PBE; formation energy from raw total energies = -2.4 eV per formula unit; symmetry = Imm2, No. 44; relative energy among the computed polymorphs = 0.062 eV per atom; E = -2.431 eV/atom; crystal system = orthorhombic
1.0
9.8887 0.4486 -0.0866
7.8078 6.0849 0.0866
-8.6871 -3.7032 2.9691
Pb Hg Br
1 1 2
Direct
0.2038 0.7038 0.5000
0.4421 0.4421 0.0000
0.0916 0.0916 0.0000
0.7625 0.2625 0.5000

=====

Entry 4:
BaHfAu2, relaxed, DFT PBE; symmetry = I-42d, No. 122; relative energy among the computed polymorphs = 0.350 eV per atom; formation enthalpy at 0 K = -0.122 eV/atom; E = -4.730 eV/atom; crystal system = tetragonal
1.0
7.9433 0.0000 0.0000
0.0000 7.9433 0.0000
3.9716 3.9716 3.9145
Ba Au Hf
2 4 2
Direct
0.2500 0.7500 0.5000
0.5000 0.5000 0.0000
0.8750 0.9396 0.7500
0.6896 0.1250 0.2500
0.0604 0.6250 0.2500
0.3750 0.3104 0.7500
0.0000 0.0000 0.0000
0.7500 0.2500 0.5000

=====

Entry 5:
PmGdInSi, relaxed, DFT PBE; formation energy from raw total energies = -1.6 eV per formula unit; symmetry = F-43m, No. 216; E = -7.144 eV/atom; crystal system = cubic
1.0
-2.6229 4.3277 1.3742
-5.2149 -0.1513 0.5277
-2.1646 0.3525 4.7631
Pm Gd Si In
1 1 1 1
Direct
0.0000 0.0000 0.0000
0.5000 0.5000 0.5000
0.7500 0.7500 0.7500
0.2500 0.2500 0.2500

=====

Entry 6:
Kr, relaxed, DFT PBE; symmetry = P6_3/mmc, No. 194; formation enthalpy at 0 K = 0.000 eV/atom; E = -0.049 eV/atom; crystal system = hexagonal
1.0
-1.4341 3.5983 -1.6381
-2.5021 -3.3760 0.1734
-4.8608 4.3070 13.7165
Kr
4
Direct
0.0000 0.0000 0.5000
0.3333 0.6667 0.2500
0.6667 0.3333 0.7500
0.0000 0.0000 0.0000

=====

Entry 7:
Pa3Tl, relaxed, DFT PBE; symmetry = I4/mmm, No. 139; relative energy among the computed polymorphs = 0.084 eV per atom; formation enthalpy at 0 K = 0.165 eV/atom; E = -7.549 eV/atom; crystal system = tetragonal
1.0
-0.5484 -1.1188 -4.4746
4.6085 0.0507 -0.5775
-1.8409 -4.0005 3.6367
Pa Tl
3 1
Direct
0.5000 0.5000 0.0000
0.7500 0.2500 0.5000
0.2500 0.7500 0.5000
0.0000 0.0000 0.0000

=====

Entry 8:
FeNi3S, relaxed, DFT PBE; formation energy from raw total energies = 1.4 eV per formula unit; symmetry = Pm-3m, No. 221; relative energy among the computed polymorphs = 0.000 eV per atom; E = -5.716 eV/atom; crystal system = cubic
1.0
-2.9109 1.4853 2.4729
-2.7011 -0.1702 -3.0773
-1.0126 -3.8157 1.0998
Fe S Ni
1 1 3
Direct
0.5000 0.5000 0.5000
0.0000 0.0000 0.0000
0.0000 0.0000 0.5000
0.5000 0.0000 0.0000
0.0000 0.5000 0.0000

=====

Entry 9:
Ce3NiSe6, relaxed, DFT PBE; formation energy from raw total energies = -13.8 eV per formula unit; symmetry = R-3, No. 148; relative energy among the computed polymorphs = 0.061 eV per atom; E = -5.827 eV/atom; crystal system = trigonal
1.0
-5.8311 -4.8050 3.1212
5.8108 -5.6267 -1.1864
2.7989 3.3035 6.9344
Se Ce Ni
12 6 2
Direct
0.1905 0.5683 0.4319
0.0581 0.3056 0.9658
0.4319 0.1905 0.5683
0.4317 0.5681 0.8095
0.0342 0.9419 0.6944
0.6944 0.0342 0.9419
0.9658 0.0581 0.3056
0.8095 0.4317 0.5681
0.3056 0.9658 0.0581
0.5683 0.4319 0.1905
0.5681 0.8095 0.4317
0.9419 0.6944 0.0342
0.3777 0.8776 0.7073
0.6223 0.1224 0.2927
0.8776 0.7073 0.3777
0.1224 0.2927 0.6223
0.7073 0.3777 0.8776
0.2927 0.6223 0.1224
0.0000 0.0000 0.0000
0.5000 0.5000 0.5000

=====

Entry 10:
Li3Zr2ScS6, relaxed, DFT PBE; formation energy from raw total energies = -19.2 eV per formula unit; symmetry = C2/m, No. 12; E = -6.093 eV/atom; crystal system = monoclinic
1.0
6.3085 -0.0012 0.0004
-3.1538 5.4636 0.0004
-1.0518 -1.8211 6.2076
S Li Zr Sc
6 3 2 1
Direct
0.4148 0.0827 0.2486
0.7511 0.7511 0.2488
0.5853 0.9173 0.7514
0.9173 0.5853 0.7514
0.0827 0.4148 0.2486
0.2489 0.2489 0.7512
0.5000 0.5000 0.5000
0.1677 0.8323 0.5000
0.8323 0.1677 0.5000
0.3337 0.6663 0.0000
0.6663 0.3337 0.0000
0.0000 0.0000 0.0000

=====

Entry 11:
Ba6Tl2Au, relaxed, DFT PBE; symmetry = Immm, No. 71; relative energy among the computed polymorphs = 0.059 eV per atom; formation enthalpy at 0 K = -0.278 eV/atom; E = -2.450 eV/atom; crystal system = orthorhombic
1.0
9.8411 1.3865 3.2303
-4.5157 8.3558 4.3581
-0.3085 1.3865 10.3531
Tl Au Ba
4 2 12
Direct
0.1370 0.6370 0.5000
0.8630 0.3630 0.5000
0.6335 0.0000 0.3665
0.3665 0.0000 0.6335
0.0000 0.0000 0.0000
0.5000 0.5000 0.0000
0.9928 0.2296 0.2368
0.6557 0.4001 0.2556
0.0072 0.7704 0.7632
0.8314 0.2703 0.8983
0.1686 0.7297 0.1017
0.5336 0.7704 0.2368
0.3443 0.0886 0.2556
0.4664 0.2296 0.7632
0.1686 0.2703 0.5611
0.8314 0.7297 0.4389
0.6557 0.9114 0.7444
0.3443 0.5999 0.7444

=====

Entry 12:
RbTlPb, relaxed, DFT PBE; symmetry = Pm, No. 6; formation enthalpy at 0 K = -0.043 eV/atom; E = -2.391 eV/atom; crystal system = monoclinic
1.0
-5.2205 -4.5035 3.5112
1.3097 -3.5705 -2.6324
4.5071 -2.4465 5.5606
Pb Rb Tl
2 2 2
Direct
0.4145 0.5000 0.1016
0.6750 0.0000 0.1607
0.2072 0.0000 0.8078
0.9851 0.5000 0.3471
0.7545 0.5000 0.8235
0.5115 0.5000 0.4890

=====

Q: The highest E belongs to which entry?
A: Kr

=====

Q: Which formula does entry 11 have?
A: Ba6Tl2Au